[1]
VASP calculation (GGA-PBE) on crystalline Ac6SnTe3Pb2 at its relaxed geometry.

Computed properties:
DOS at the Fermi energy   4.15 states/eV/cell
SG   C2/m, No. 12
ΔE_f (raw)   -1.083 eV/atom
E_tot   -4.875 eV/atom

Cell lengths 4.8341, 9.6342, 10.7715 Å; angles 102.60, 102.97, 90.00 degrees
Fractional positions:
Ac 0.3366 0.9124 0.6732
Ac 0.6686 0.5774 0.3373
Ac 0.6634 0.0876 0.3268
Ac 0.0020 0.2415 0.0040
Ac 0.9980 0.7585 0.9960
Ac 0.3314 0.4226 0.6627
Sn 0.5000 0.0000 0.0000
Te 0.5000 0.5000 0.0000
Te 0.8331 0.1670 0.6663
Te 0.1669 0.8330 0.3337
Pb 0.8333 0.6672 0.6666
Pb 0.1667 0.3328 0.3334

=====

[2]
VASP calculation (GGA-PBE) on crystalline Ca4Ce at its relaxed geometry.

Computed properties:
DOS at the Fermi energy   15.31 states/eV/cell
Calculated formation energy   0.738 eV per atom
SG   Pm-3m, No. 221
E_tot   -2.050 eV/atom

Cell lengths 5.9027, 5.9027, 5.9027 Å; angles 90.00, 90.00, 90.00 degrees
Last column: magnetic moment on the atom in μB.
Fractional positions:
Ca 0.0000 0.0000 0.0000  -0.01
Ca 0.5000 0.0000 0.5000  0.07
Ca 0.0000 0.5000 0.5000  0.07
Ca 0.5000 0.5000 0.0000  0.07
Ce 0.5000 0.5000 0.5000  1.17

=====

[3]
VASP calculation (GGA-PBE) on crystalline NdY6Cd2 at its relaxed geometry.

Computed properties:
DOS at the Fermi energy   11.13 states/eV/cell
Calculated formation energy   -0.138 eV per atom
SG   C2/m, No. 12
E_tot   -5.181 eV/atom

Cell lengths 3.7527, 6.6466, 11.8748 Å; angles 74.95, 80.91, 73.60 degrees
Fractional positions:
Nd 0.0000 0.0000 0.0000
Y 0.6847 0.5061 0.1244
Y 0.3153 0.4939 0.8756
Y 0.3123 0.7913 0.5842
Y 0.9836 0.6917 0.3411
Y 0.0164 0.3083 0.6589
Y 0.6877 0.2087 0.4158
Cd 0.3508 0.0844 0.2140
Cd 0.6492 0.9156 0.7860

=====

[4]
VASP calculation (GGA-PBE) on crystalline TmFe6Sn6 at its relaxed geometry.

Computed properties:
DOS at the Fermi energy   8.91 states/eV/cell
Calculated formation energy   -0.105 eV per atom
SG   P6/mmm, No. 191
E_tot   -6.202 eV/atom

Cell lengths 5.4004, 5.4004, 8.9416 Å; angles 90.00, 90.00, 120.00 degrees
Last column: magnetic moment on the atom in μB.
Fractional positions:
Tm 0.0000 0.0000 0.0000  -0.18
Fe 0.5000 0.5000 0.7534  2.28
Fe 0.5000 0.0000 0.7534  2.28
Fe 0.0000 0.5000 0.7534  2.28
Fe 0.5000 0.5000 0.2466  2.28
Fe 0.5000 0.0000 0.2466  2.28
Fe 0.0000 0.5000 0.2466  2.28
Sn 0.6667 0.3333 0.0000  -0.08
Sn 0.3333 0.6667 0.0000  -0.08
Sn 0.6667 0.3333 0.5000  -0.07
Sn 0.3333 0.6667 0.5000  -0.07
Sn 0.0000 0.0000 0.6640  -0.09
Sn 0.0000 0.0000 0.3360  -0.09

=====

[5]
VASP calculation (GGA-PBE) on crystalline Pm4Sm15Dy at its relaxed geometry.

Computed properties:
DOS at the Fermi energy   28.71 states/eV/cell
Calculated formation energy   0.016 eV per atom
SG   P4/mmm, No. 123
E_tot   -4.704 eV/atom

Cell lengths 5.1326, 5.1326, 25.6474 Å; angles 90.00, 90.00, 90.00 degrees
Fractional positions:
Pm 0.0000 0.0000 0.1993
Pm 0.0000 0.0000 0.3997
Pm 0.0000 0.0000 0.6003
Pm 0.0000 0.0000 0.8007
Sm 0.5000 0.5000 0.0000
Sm 0.5000 0.5000 0.1990
Sm 0.5000 0.5000 0.3998
Sm 0.5000 0.5000 0.6002
Sm 0.5000 0.5000 0.8010
Sm 0.5000 0.0000 0.0990
Sm 0.5000 0.0000 0.2994
Sm 0.5000 0.0000 0.5000
Sm 0.5000 0.0000 0.7006
Sm 0.5000 0.0000 0.9010
Sm 0.0000 0.5000 0.0990
Sm 0.0000 0.5000 0.2994
Sm 0.0000 0.5000 0.5000
Sm 0.0000 0.5000 0.7006
Sm 0.0000 0.5000 0.9010
Dy 0.0000 0.0000 0.0000

=====

[6]
VASP calculation (GGA-PBE) on crystalline Ac7PmPb4 at its relaxed geometry.

Computed properties:
DOS at the Fermi energy   10.52 states/eV/cell
Calculated formation energy   -0.129 eV per atom
SG   C2/m, No. 12
E_tot   -4.158 eV/atom

Cell lengths 6.2983, 10.0240, 9.0222 Å; angles 67.94, 69.57, 71.69 degrees
Fractional positions:
Ac 0.8078 0.8747 0.5097
Ac 0.1922 0.1253 0.4903
Ac 0.0673 0.5987 0.2668
Ac 0.9327 0.4013 0.7332
Ac 0.2493 0.6946 0.8067
Ac 0.5000 0.0000 0.0000
Ac 0.7507 0.3054 0.1933
Pm 0.0000 0.0000 0.0000
Pb 0.5705 0.2575 0.6015
Pb 0.4295 0.7425 0.3985
Pb 0.6875 0.6606 0.9644
Pb 0.3125 0.3394 0.0356

=====

[7]
VASP calculation (GGA-PBE) on crystalline RuC at its relaxed geometry.

Computed properties:
Energy above the lowest structure with this stoichiometry   0.82 eV per formula unit
DOS at the Fermi energy   3.96 states/eV/cell
Calculated formation energy   0.773 eV per atom
SG   R-3m, No. 166
E_tot   -8.477 eV/atom

Cell lengths 5.3225, 5.3225, 5.3225 Å; angles 36.84, 36.84, 36.84 degrees
Fractional positions:
Ru 0.9049 0.9049 0.9049
Ru 0.0951 0.0951 0.0951
C 0.7493 0.7493 0.7493
C 0.2507 0.2507 0.2507

=====

[8]
VASP calculation (GGA-PBE) on crystalline Cr2AsPb at its relaxed geometry.

Computed properties:
Energy above the lowest structure with this stoichiometry   1.22 eV per formula unit
DOS at the Fermi energy   3.28 states/eV/cell
Calculated formation energy   0.524 eV per atom
SG   C2/m, No. 12
E_tot   -6.377 eV/atom

Cell lengths 7.0751, 4.8536, 3.3500 Å; angles 88.90, 63.44, 125.07 degrees
Last column: magnetic moment on the atom in μB.
Fractional positions:
As 0.5000 0.5000 0.0000  -0.13
Cr 0.0000 0.0000 0.0000  3.59
Cr 0.5000 0.0000 0.5000  3.59
Pb 0.0000 0.5000 0.5000  -0.09

=====

[9]
VASP calculation (GGA-PBE) on crystalline PrSm5In3 at its relaxed geometry.

Computed properties:
Energy above the lowest structure with this stoichiometry   0.00 eV per formula unit
DOS at the Fermi energy   25.02 states/eV/cell
Calculated formation energy   -0.344 eV per atom
SG   P6_3/mcm, No. 193
E_tot   -4.410 eV/atom

Cell lengths 6.8814, 9.5669, 9.5668 Å; angles 120.00, 90.00, 90.00 degrees
Last column: magnetic moment on the atom in μB.
Fractional positions:
Pr 0.0000 0.0000 0.0000  0.16
Pr 0.5000 0.0000 0.0000  0.16
Sm 0.0000 0.6667 0.3333  0.14
Sm 0.5000 0.3333 0.6667  0.14
Sm 0.0000 0.3333 0.6667  0.14
Sm 0.5000 0.6667 0.3333  0.14
Sm 0.7500 0.6690 0.6690  0.09
Sm 0.7500 0.0000 0.3310  0.09
Sm 0.7500 0.3310 0.0000  0.09
Sm 0.2500 0.3310 0.3310  0.09
Sm 0.2500 0.0000 0.6690  0.09
Sm 0.2500 0.6690 0.0000  0.09
In 0.7500 0.3378 0.3377  0.00
In 0.7500 0.0000 0.6623  0.00
In 0.7500 0.6622 0.0000  0.00
In 0.2500 0.6622 0.6623  0.00
In 0.2500 0.0000 0.3377  0.00
In 0.2500 0.3378 0.0000  0.00

=====

[10]
VASP calculation (GGA-PBE) on crystalline PmAlTc at its relaxed geometry.

Computed properties:
Energy above the lowest structure with this stoichiometry   0.75 eV per formula unit
DOS at the Fermi energy   1.15 states/eV/cell
Calculated formation energy   -0.088 eV per atom
SG   P-6m2, No. 187
E_tot   -6.375 eV/atom

Cell lengths 3.8626, 4.3935, 4.3935 Å; angles 120.00, 90.00, 90.00 degrees
Fractional positions:
Al 0.1667 0.0000 0.0000
Tc 0.1666 0.6667 0.3333
Pm 0.6667 0.3333 0.6667

=====

[11]
VASP calculation (GGA-PBE) on crystalline Y4AlCdO at its relaxed geometry.

Computed properties:
DOS at the Fermi energy   9.06 states/eV/cell
SG   Cmcm, No. 63
ΔE_f (raw)   -0.982 eV/atom
E_tot   -6.049 eV/atom

Cell lengths 6.5887, 6.5898, 8.5802 Å; angles 90.00, 112.58, 90.00 degrees
Fractional positions:
Y 0.9236 0.2500 0.8472
Y 0.4209 0.7500 0.8418
Y 0.0764 0.7500 0.1528
Y 0.5791 0.2500 0.1582
Y 0.5000 0.5000 0.5000
Y 0.0000 0.0000 0.5000
Y 0.5000 0.0000 0.5000
Y 0.0000 0.5000 0.5000
Al 0.1176 0.2500 0.2352
Al 0.8824 0.7500 0.7648
Cd 0.6147 0.7500 0.2294
Cd 0.3853 0.2500 0.7706
O 0.2523 0.7500 0.5046
O 0.7477 0.2500 0.4954

=====

[12]
VASP calculation (GGA-PBE) on crystalline LuPaSn2 at its relaxed geometry.

Computed properties:
Energy above the lowest structure with this stoichiometry   1.66 eV per formula unit
DOS at the Fermi energy   7.24 states/eV/cell
Calculated formation energy   0.064 eV per atom
SG   R-3m, No. 166
E_tot   -5.441 eV/atom

Cell lengths 3.2785, 3.2785, 11.8706 Å; angles 82.06, 82.06, 60.00 degrees
Last column: magnetic moment on the atom in μB.
Fractional positions:
Pa 0.0000 0.0000 0.0000  -0.34
Lu 0.5000 0.5000 0.5000  -0.05
Sn 0.9092 0.9092 0.2724  -0.01
Sn 0.0908 0.0908 0.7276  -0.01

=====

[13]
VASP calculation (GGA-PBE) on crystalline CaGaBi2 at its relaxed geometry.

Computed properties:
DOS at the Fermi energy   2.46 states/eV/cell
Calculated formation energy   0.088 eV per atom
SG   R-3m, No. 166
E_tot   -3.110 eV/atom

Cell lengths 3.8782, 3.8782, 10.4844 Å; angles 79.34, 79.34, 60.00 degrees
Fractional positions:
Ca 0.0000 0.0000 0.0000
Bi 0.1052 0.1052 0.6845
Bi 0.8948 0.8948 0.3155
Ga 0.5000 0.5000 0.5000